(1)
The following is a DFT calculation (PBE-GGA) of a relaxed structure of TaTiAl2.

abc: 4.530 4.530 4.530
angles: 60.00 60.00 60.00
Fractional coordinates of all 4 atoms:
Ta: 0.500 0.500 0.500
Al: 0.750 0.750 0.750
Al: 0.250 0.250 0.250
Ti: 0.000 0.000 0.000

Properties
space-group type: No. 225
total DFT energy (no corrections): -6.898 eV per atom
DFT formation energy: -0.089 eV per atom
relative energy among the computed polymorphs: 236 meV per atom

(2)
The following is a DFT calculation (PBE-GGA) of a relaxed structure of Ho13Zn2.

abc: 6.588 8.346 8.789
angles: 114.03 78.76 97.42
Fractional coordinates of all 15 atoms:
Ho: 0.506 0.859 0.793
Ho: 0.309 0.339 0.967
Ho: 0.494 0.141 0.207
Ho: 0.121 0.523 0.731
Ho: 0.760 0.947 0.428
Ho: 0.691 0.661 0.033
Ho: 0.806 0.235 0.853
Ho: 0.358 0.589 0.390
Ho: 0.240 0.053 0.572
Ho: 0.000 0.000 0.000
Ho: 0.194 0.765 0.147
Ho: 0.642 0.411 0.610
Ho: 0.879 0.477 0.269
Zn: 0.941 0.767 0.618
Zn: 0.059 0.233 0.382

Properties
space-group type: No. 2
total DFT energy (no corrections): -4.179 eV per atom
DFT formation energy: -0.041 eV per atom

(3)
The following is a DFT calculation (PBE-GGA) of a relaxed structure of Tb4CeEr15.

abc: 4.977 4.977 24.822
angles: 90.00 90.00 90.00
Fractional coordinates of all 20 atoms:
Er: 0.000 0.500 0.500
Er: 0.000 0.500 0.099
Er: 0.000 0.500 0.700
Er: 0.500 0.500 0.400
Er: 0.500 0.000 0.700
Er: 0.500 0.500 0.200
Er: 0.500 0.000 0.099
Er: 0.500 0.500 0.000
Er: 0.500 0.000 0.901
Er: 0.500 0.000 0.500
Er: 0.500 0.500 0.800
Er: 0.500 0.000 0.300
Er: 0.500 0.500 0.600
Er: 0.000 0.500 0.901
Er: 0.000 0.500 0.300
Tb: 0.000 0.000 0.199
Tb: 0.000 0.000 0.600
Tb: 0.000 0.000 0.801
Tb: 0.000 0.000 0.400
Ce: 0.000 0.000 0.000

Properties
space-group type: No. 123
total DFT energy (no corrections): -4.614 eV per atom
DFT formation energy: 0.031 eV per atom

(4)
The following is a DFT calculation (PBE-GGA) of a relaxed structure of NpIn3F7.

abc: 6.307 6.307 6.993
angles: 70.42 70.42 90.91
Fractional coordinates of all 11 atoms:
F: 0.834 0.834 0.836
F: 0.314 0.959 0.767
F: 0.657 0.000 0.217
F: 0.000 0.657 0.217
F: 0.156 0.156 0.148
F: 0.959 0.314 0.767
F: 0.489 0.489 0.714
Np: 0.991 0.991 0.996
In: 0.473 0.473 0.052
In: 0.271 0.731 0.518
In: 0.731 0.271 0.518

Properties
space-group type: No. 8
total DFT energy (no corrections): -5.613 eV per atom

(5)
The following is a DFT calculation (PBE-GGA) of a relaxed structure of Zn4Ni2Au3.

abc: 3.873 4.658 8.375
angles: 76.50 89.91 65.41
Fractional coordinates of all 9 atoms:
Au: 0.329 0.342 0.422
Au: 0.000 0.000 0.000
Au: 0.671 0.658 0.578
Ni: 0.664 0.671 0.208
Ni: 0.336 0.329 0.792
Zn: 0.667 0.666 0.893
Zn: 0.333 0.334 0.107
Zn: 0.006 0.988 0.328
Zn: 0.994 0.012 0.672

Properties
space-group type: No. 2
total DFT energy (no corrections): -3.118 eV per atom
DFT formation energy: -0.175 eV per atom

(6)
The following is a DFT calculation (PBE-GGA) of a relaxed structure of CaHoAgIr.

abc: 4.955 4.955 4.955
angles: 60.00 60.00 60.00
Fractional coordinates of all 4 atoms:
Ag: 0.250 0.250 0.250
Ho: 0.500 0.500 0.500
Ir: 0.750 0.750 0.750
Ca: 0.000 0.000 0.000

Properties
space-group type: No. 216
total DFT energy (no corrections): -5.020 eV per atom
DFT formation energy: -0.447 eV per atom
relative energy among the computed polymorphs: 43 meV per atom

(7)
The following is a DFT calculation (PBE-GGA) of a relaxed structure of Ta2InAs.

abc: 4.688 4.688 4.688
angles: 60.00 60.00 60.00
Fractional coordinates of all 4 atoms:
As: 0.000 0.000 0.000
Ta: 0.750 0.750 0.750
Ta: 0.250 0.250 0.250
In: 0.500 0.500 0.500

Properties
space-group type: No. 225
total DFT energy (no corrections): -7.453 eV per atom
DFT formation energy: 0.321 eV per atom
relative energy among the computed polymorphs: 346 meV per atom

(8)
The following is a DFT calculation (PBE-GGA) of a relaxed structure of TlBr3F.

abc: 5.131 5.131 5.131
angles: 90.00 90.00 90.00
Fractional coordinates of all 5 atoms:
Br: 0.500 0.000 0.000
Br: 0.000 0.000 0.500
Br: 0.000 0.500 0.000
Tl: 0.500 0.500 0.500
F: 0.000 0.000 0.000

Properties
space-group type: No. 221
total DFT energy (no corrections): -2.004 eV per atom
relative energy among the computed polymorphs: 491 meV per atom

(9)
The following is a DFT calculation (PBE-GGA) of a relaxed structure of Rb2TaMn2S6.

abc: 5.973 5.973 8.063
angles: 96.38 96.38 120.43
Fractional coordinates of all 11 atoms:
S: 0.701 0.701 0.677
S: 0.402 0.052 0.669
S: 0.052 0.402 0.669
S: 0.948 0.598 0.331
S: 0.299 0.299 0.323
S: 0.598 0.948 0.331
Mn: 0.659 0.341 0.500
Mn: 0.341 0.659 0.500
Rb: 0.164 0.836 0.000
Rb: 0.836 0.164 0.000
Ta: 0.000 0.000 0.500

Properties
space-group type: No. 12
total DFT energy (no corrections): -6.006 eV per atom

(10)
The following is a DFT calculation (PBE-GGA) of a relaxed structure of FeCo8Ir6.

abc: 6.449 6.449 6.449
angles: 60.78 60.78 60.78
Fractional coordinates of all 15 atoms:
Fe: 0.000 0.000 0.000
Co: 0.334 0.888 0.195
Co: 0.666 0.112 0.805
Co: 0.112 0.805 0.666
Co: 0.805 0.666 0.112
Co: 0.426 0.426 0.426
Co: 0.888 0.195 0.334
Co: 0.195 0.334 0.888
Co: 0.574 0.574 0.574
Ir: 0.931 0.736 0.451
Ir: 0.264 0.549 0.069
Ir: 0.451 0.931 0.736
Ir: 0.736 0.451 0.931
Ir: 0.069 0.264 0.549
Ir: 0.549 0.069 0.264

Properties
space-group type: No. 148
total DFT energy (no corrections): -7.759 eV per atom
DFT formation energy: 0.139 eV per atom

(11)
The following is a DFT calculation (PBE-GGA) of a relaxed structure of Ba2CaCd12Au3.

abc: 8.785 8.785 8.785
angles: 69.77 69.77 69.77
Fractional coordinates of all 18 atoms:
Ba: 0.597 0.597 0.597
Ba: 0.403 0.403 0.403
Au: 0.000 0.000 0.500
Au: 0.000 0.500 0.000
Au: 0.500 0.000 0.000
Cd: 0.710 0.710 0.157
Cd: 0.710 0.157 0.710
Cd: 0.621 0.146 0.146
Cd: 0.854 0.854 0.379
Cd: 0.843 0.290 0.290
Cd: 0.854 0.379 0.854
Cd: 0.146 0.621 0.146
Cd: 0.157 0.710 0.710
Cd: 0.146 0.146 0.621
Cd: 0.290 0.290 0.843
Cd: 0.379 0.854 0.854
Cd: 0.290 0.843 0.290
Ca: 0.000 0.000 0.000

Properties
space-group type: No. 166
total DFT energy (no corrections): -1.498 eV per atom
DFT formation energy: -0.016 eV per atom

(12)
The following is a DFT calculation (PBE-GGA) of a relaxed structure of LaPm8Dy3.

abc: 8.806 8.805 8.806
angles: 97.20 136.13 98.84
Fractional coordinates of all 12 atoms:
Pm: 0.167 0.419 0.252
Pm: 0.167 0.915 0.748
Pm: 0.833 0.581 0.748
Pm: 0.498 0.735 0.762
Pm: 0.833 0.085 0.252
Pm: 0.973 0.736 0.238
Pm: 0.502 0.264 0.237
Pm: 0.027 0.265 0.763
Dy: 0.500 0.268 0.768
Dy: 0.000 0.500 0.500
Dy: 0.500 0.732 0.232
La: 0.000 0.000 0.000

Properties
space-group type: No. 71
total DFT energy (no corrections): -4.398 eV per atom
DFT formation energy: 0.330 eV per atom

(13)
The following is a DFT calculation (PBE-GGA) of a relaxed structure of SiTc2Hg.

abc: 5.226 5.226 5.226
angles: 145.86 127.30 64.30
Fractional coordinates of all 4 atoms:
Tc: 0.038 0.038 0.000
Tc: 0.462 0.462 0.000
Si: 0.250 0.750 0.500
Hg: 0.750 0.250 0.500

Properties
space-group type: No. 71
total DFT energy (no corrections): -6.338 eV per atom
relative energy among the computed polymorphs: 231 meV per atom

(14)
The following is a DFT calculation (PBE-GGA) of a relaxed structure of Ba3C.

abc: 4.170 7.837 7.838
angles: 46.12 90.00 90.00
Fractional coordinates of all 4 atoms:
Ba: 0.500 0.750 0.750
Ba: 0.000 0.383 0.383
Ba: 0.000 0.117 0.117
C: 0.500 0.250 0.250

Properties
space-group type: No. 65
total DFT energy (no corrections): -3.261 eV per atom
DFT formation energy: 0.487 eV per atom
relative energy among the computed polymorphs: 111 meV per atom

(15)
The following is a DFT calculation (PBE-GGA) of a relaxed structure of TiIr3Ru.

abc: 4.530 4.530 4.530
angles: 90.00 90.00 90.00
Fractional coordinates of all 5 atoms:
Ru: 0.500 0.500 0.500
Ir: 0.500 0.000 0.000
Ir: 0.000 0.500 0.000
Ir: 0.000 0.000 0.500
Ti: 0.000 0.000 0.000

Properties
space-group type: No. 221
total DFT energy (no corrections): -7.314 eV per atom
DFT formation energy: 1.437 eV per atom
relative energy among the computed polymorphs: 0 meV per atom

(16)
The following is a DFT calculation (PBE-GGA) of a relaxed structure of Li7PrCd5.

abc: 5.750 7.468 7.468
angles: 82.70 67.36 67.36
Fractional coordinates of all 13 atoms:
Li: 0.348 0.652 0.652
Li: 0.996 0.356 0.652
Li: 0.503 0.780 0.214
Li: 0.287 0.213 0.213
Li: 0.996 0.652 0.356
Li: 0.503 0.214 0.780
Li: 0.652 0.348 0.348
Cd: 0.701 0.799 0.799
Cd: 0.005 0.006 0.489
Cd: 0.005 0.489 0.006
Cd: 0.501 0.489 0.006
Cd: 0.501 0.006 0.489
Pr: 0.002 0.998 0.998

Properties
space-group type: No. 44
total DFT energy (no corrections): -1.942 eV per atom
DFT formation energy: -0.192 eV per atom

(17)
The following is a DFT calculation (PBE-GGA) of a relaxed structure of LiSi2Cl.

abc: 4.665 4.665 4.665
angles: 60.00 60.00 60.00
Fractional coordinates of all 4 atoms:
Cl: 0.500 0.500 0.500
Si: 0.250 0.250 0.250
Si: 0.750 0.750 0.750
Li: 0.000 0.000 0.000

Properties
space-group type: No. 225
total DFT energy (no corrections): -3.016 eV per atom
relative energy among the computed polymorphs: 1308 meV per atom

(18)
The following is a DFT calculation (PBE-GGA) of a relaxed structure of TmLuRh4.

abc: 5.295 5.295 5.295
angles: 60.00 60.00 60.00
Fractional coordinates of all 6 atoms:
Rh: 0.625 0.625 0.125
Rh: 0.125 0.625 0.625
Rh: 0.625 0.125 0.625
Rh: 0.625 0.625 0.625
Tm: 0.250 0.250 0.250
Lu: 0.000 0.000 0.000

Properties
space-group type: No. 216
total DFT energy (no corrections): -7.165 eV per atom
DFT formation energy: -0.766 eV per atom

(19)
The following is a DFT calculation (PBE-GGA) of a relaxed structure of BeV2TeBr.

abc: 5.160 5.846 5.160
angles: 90.00 90.00 90.00
Fractional coordinates of all 5 atoms:
Br: 0.000 0.500 0.000
V: 0.000 0.000 0.500
V: 0.500 0.000 0.000
Te: 0.000 0.000 0.000
Be: 0.500 0.500 0.500

Properties
space-group type: No. 123
total DFT energy (no corrections): -3.932 eV per atom

(20)
The following is a DFT calculation (PBE-GGA) of a relaxed structure of Pm2GdTi.

abc: 3.476 3.476 9.576
angles: 90.00 90.00 90.00
Fractional coordinates of all 4 atoms:
Ti: 0.500 0.500 0.000
Gd: 0.500 0.500 0.500
Pm: 0.000 0.000 0.220
Pm: 0.000 0.000 0.780

Properties
space-group type: No. 123
total DFT energy (no corrections): -7.684 eV per atom
DFT formation energy: 0.185 eV per atom

(21)
The following is a DFT calculation (PBE-GGA) of a relaxed structure of Li2TaIn.

abc: 5.261 5.261 5.266
angles: 81.87 81.87 31.15
Fractional coordinates of all 4 atoms:
In: 0.250 0.250 0.250
Li: 0.504 0.504 0.515
Li: 0.996 0.996 0.985
Ta: 0.750 0.750 0.750

Properties
space-group type: No. 12
total DFT energy (no corrections): -4.364 eV per atom
DFT formation energy: 0.241 eV per atom

(22)
The following is a DFT calculation (PBE-GGA) of a relaxed structure of PmThPt2.

abc: 4.115 4.115 7.514
angles: 74.11 74.11 60.00
Fractional coordinates of all 4 atoms:
Pm: 0.497 0.497 0.509
Th: 0.669 0.669 0.993
Pt: 0.252 0.252 0.243
Pt: 0.082 0.082 0.755

Properties
space-group type: No. 160
total DFT energy (no corrections): -7.186 eV per atom
DFT formation energy: -1.123 eV per atom
relative energy among the computed polymorphs: 99 meV per atom

(23)
The following is a DFT calculation (PBE-GGA) of a relaxed structure of Ac2ThPb9.

abc: 5.016 5.016 15.004
angles: 90.00 90.00 90.00
Fractional coordinates of all 12 atoms:
Pb: 0.500 0.500 0.000
Pb: 0.500 0.000 0.159
Pb: 0.500 0.500 0.669
Pb: 0.000 0.500 0.159
Pb: 0.000 0.500 0.841
Pb: 0.000 0.500 0.500
Pb: 0.500 0.000 0.841
Pb: 0.500 0.000 0.500
Pb: 0.500 0.500 0.331
Ac: 0.000 0.000 0.327
Ac: 0.000 0.000 0.673
Th: 0.000 0.000 0.000

Properties
space-group type: No. 123
total DFT energy (no corrections): -4.430 eV per atom
DFT formation energy: -0.346 eV per atom